# 1
Density functional theory data (GGA-PBE) for In3RuN after structural relaxation.

The space group is Pm-3m (No. 221) and the conventional cell measures 5.1610, 5.1610 and 5.1610 Å, with angles of 90.00, 90.00 and 90.00 degrees. The distinct sites, in fractional coordinates, are In at (0.0000, 0.0000, 0.5000), Ru at (0.0000, 0.0000, 0.0000) and N at (0.5000, 0.5000, 0.5000).

The value obtained for the formation energy (no corrections) is 0.98 eV/atom. The offset from the most stable computed form is 221 meV per atom.

=====

# 2
Density functional theory data (GGA-PBE) for Y2HoZn after structural relaxation.

The space group is R3m (No. 160, hexagonal axes) and the conventional cell measures 3.6229, 3.6229 and 30.4954 Å, with angles of 90.00, 90.00 and 120.00 degrees. The distinct sites, in fractional coordinates, are Y at (0.0000, 0.0000, 0.0000), Y at (0.0000, 0.0000, 0.1890), Ho at (0.0000, 0.0000, 0.4281) and Zn at (0.0000, 0.0000, 0.5941).

As for the formation energy: -0.27 eV/f.u. The offset from the most stable computed form is 94 meV per atom.

=====

# 3
Density functional theory data (GGA-PBE) for Li2TlSi2 after structural relaxation.

The space group is P4/mbm (No. 127) and the conventional cell measures 7.8222, 7.8222 and 2.9589 Å, with angles of 90.00, 90.00 and 90.00 degrees. The distinct sites, in fractional coordinates, are Li at (0.1895, 0.3105, 0.0000), Tl at (0.0000, 0.0000, 0.5000) and Si at (0.1050, 0.6050, 0.5000).

The value obtained for the formation energy (no corrections) is -0.01 eV/atom. The offset from the most stable computed form is 0 meV per atom.

=====

# 4
Density functional theory data (GGA-PBE) for NdDy2Tm5 after structural relaxation.

The space group is Pbam (No. 55) and the conventional cell measures 7.0429, 19.8816 and 7.0554 Å, with angles of 90.00, 90.00 and 90.00 degrees. The distinct sites, in fractional coordinates, are Nd at (0.2493, 0.1254, 0.0000), Dy at (0.0000, 0.5000, 0.2515), Dy at (0.2488, 0.1255, 0.5000), Tm at (0.0000, 0.0000, 0.2515), Tm at (0.0011, 0.7500, 0.2516), Tm at (0.2495, 0.3747, 0.0000) and Tm at (0.2493, 0.3746, 0.5000).

As for the formation energy: 0.17 eV/f.u.

=====

> What is the formula in the second record?

Y2HoZn